Here is an optimized crystal structure of Tb5Mg from Alexandria via LeMat-Bulk. Energies are from GGA-PBE.

E_tot in eV/atom: -4.11
DOS at the Fermi energy in states/eV/f.u.: 8.10
Energy of formation from the pure elements in eV/atom: 0.0103
Total magnetic moment in μB/cell: 0.00

a b c (Å): 6.6238 6.6238 6.6238
angles (deg): 55.43 55.43 55.43
Atoms (fractional coordinates):
Tb: 0.6574 0.3426 0.0000
Tb: 0.0000 0.6574 0.3426
Tb: 0.3426 0.0000 0.6574
Tb: 0.8332 0.8332 0.8332
Tb: 0.1668 0.1668 0.1668
Mg: 0.5000 0.5000 0.5000